The following is a DFT calculation (PBE) of BiF3 after structural relaxation.

Computed properties:
V = 15.08 Å³ per atom
formation energy from raw total energies = -9.62 eV/f.u.
total magnetic moment = 0.000 μB per cell

Cell lengths 4.4405, 4.4405, 4.4405 Å; angles 128.31, 90.65, 111.65 degrees
Last column: nearest neighbours and their distance in Å.
Atoms (fractional coordinates):
Bi  0.0000  0.0000  0.0000  4 F 2.23-2.27
F  0.0055  0.7250  0.2805  1 Bi 2.23
F  0.4445  0.7250  0.7195  1 Bi 2.23
F  0.7642  0.2642  0.5000  2 Bi 2.27

The following is a DFT calculation (PBE) of BiF after structural relaxation.

Computed properties:
V = 21.89 Å³ per atom
formation energy from raw total energies = -2.75 eV/f.u.
polymorph energy (0 for the lowest one) = 0.09 eV/f.u.
total magnetic moment = 0.000 μB per cell

Cell lengths 3.4022, 3.4022, 8.7337 Å; angles 90.00, 90.00, 120.00 degrees
Last column: nearest neighbours and their distance in Å.
Atoms (fractional coordinates):
Bi  0.3333  0.6667  0.0000  1 F 2.23
Bi  0.6667  0.3333  0.5000  1 F 2.23
F  0.3333  0.6667  0.7449  1 Bi 2.23
F  0.6667  0.3333  0.2449  1 Bi 2.23

The following is a DFT calculation (PBE) of BiF5 after structural relaxation.

Computed properties:
V = 15.07 Å³ per atom
formation energy from raw total energies = -9.55 eV/f.u.
polymorph energy (0 for the lowest one) = 1.10 eV/f.u.
total magnetic moment = 0.001 μB per cell

Cell lengths 5.7756, 5.7756, 5.7756 Å; angles 140.64, 131.43, 64.23 degrees
Last column: nearest neighbours and their distance in Å.
Atoms (fractional coordinates):
Bi  0.0000  0.0000  0.0000  6 F 2.02-2.25
F  0.2061  0.2061  0.0000  1 Bi 2.02
F  0.2387  0.5000  0.7387  2 Bi 2.25, 4 F 2.27-2.48
F  0.5000  0.0000  0.5000  4 F 2.31, 2 Bi 2.38
F  0.7613  0.5000  0.2613  2 Bi 2.25, 4 F 2.27-2.48
F  0.7939  0.7939  0.0000  1 Bi 2.02

The following is a DFT calculation (PBE) of BiF after structural relaxation.

Computed properties:
V = 24.43 Å³ per atom
formation energy from raw total energies = -1.77 eV/f.u.
polymorph energy (0 for the lowest one) = 1.06 eV/f.u.
total magnetic moment = 0.000 μB per cell

Cell lengths 4.1035, 4.1035, 4.1035 Å; angles 60.00, 60.00, 60.00 degrees
Last column: nearest neighbours and their distance in Å.
Atoms (fractional coordinates):
Bi  0.0000  0.0000  0.0000  4 F 2.51
F  0.2500  0.2500  0.2500  4 Bi 2.51

The lowest formation energy from raw total energies belongs to which entry?
BiF3

What is the formation energy from raw total energies in the second record?
-2.75 eV/f.u.

Please write out number 1 again, unchanged.
The following is a DFT calculation (PBE) of BiF3 after structural relaxation.

Computed properties:
V = 15.08 Å³ per atom
formation energy from raw total energies = -9.62 eV/f.u.
total magnetic moment = 0.000 μB per cell

Cell lengths 4.4405, 4.4405, 4.4405 Å; angles 128.31, 90.65, 111.65 degrees
Last column: nearest neighbours and their distance in Å.
Atoms (fractional coordinates):
Bi  0.0000  0.0000  0.0000  4 F 2.23-2.27
F  0.0055  0.7250  0.2805  1 Bi 2.23
F  0.4445  0.7250  0.7195  1 Bi 2.23
F  0.7642  0.2642  0.5000  2 Bi 2.27

Look up the total magnetic moment of the third one.
0.001 μB per cell